No. 1
5
Lattice="6.8612 0.0000 0.0000 0.0000 6.8612 0.0000 0.0000 0.0000 4.7050" Properties=species:S:1:pos:R:3 comment="RbTe2BrN PBE optimized geometry" e_form_raw_ev_per_atom=1.72 polymorph_energy_ev_per_atom=1.651 pbc="T T T"
Rb 0.0000 0.0000 0.0000
Te 0.0000 3.4306 0.0000
Te 3.4306 0.0000 0.0000
Br 3.4306 3.4306 2.3525
N 0.0000 0.0000 2.3525



No. 2
5
Lattice="5.2374 0.0000 0.0000 0.0000 5.2374 0.0000 0.0000 0.0000 7.4599" Properties=species:S:1:pos:R:3 comment="RbTeBrN2 PBE optimized geometry" e_form_raw_ev_per_atom=1.98 polymorph_energy_ev_per_atom=0.267 pbc="T T T"
Rb 0.0000 0.0000 0.0000
Te 0.0000 0.0000 3.7300
Br 2.6187 2.6187 3.7300
N 0.0000 2.6187 0.0000
N 2.6187 0.0000 0.0000



No. 3
5
Lattice="5.0636 0.0000 0.0000 0.0000 5.0636 0.0000 0.0000 0.0000 5.7721" Properties=species:S:1:pos:R:3 comment="RbTeBrN2 PBE optimized geometry" e_form_raw_ev_per_atom=1.71 polymorph_energy_ev_per_atom=0.000 pbc="T T T"
Rb 0.0000 0.0000 0.0000
Te 2.5318 2.5318 0.0000
Br 2.5318 2.5318 2.8860
N 0.0000 2.5318 2.8860
N 2.5318 0.0000 2.8860



No. 4
5
Lattice="4.5848 0.0000 0.0000 0.0000 4.5848 0.0000 0.0000 0.0000 8.6862" Properties=species:S:1:pos:R:3 comment="RbTe2BrN PBE optimized geometry" e_form_raw_ev_per_atom=0.06 polymorph_energy_ev_per_atom=0.000 pbc="T T T"
Rb 0.0000 0.0000 0.0000
Te 0.0000 2.2924 4.3431
Te 2.2924 0.0000 4.3431
Br 2.2924 2.2924 0.0000
N 2.2924 2.2924 4.3431



No. 5
5
Lattice="6.7464 0.0000 0.0000 0.0000 6.7464 0.0000 0.0000 0.0000 3.6084" Properties=species:S:1:pos:R:3 comment="RbTe2BrN PBE optimized geometry" e_form_raw_ev_per_atom=0.80 polymorph_energy_ev_per_atom=0.735 pbc="T T T"
Rb 0.0000 0.0000 0.0000
Te 0.0000 3.3732 1.8042
Te 3.3732 0.0000 1.8042
Br 3.3732 3.3732 1.8042
N 3.3732 3.3732 0.0000



No. 6
10
Lattice="-3.8972 3.8972 5.5821 3.8972 -3.8972 5.5821 3.8972 3.8972 -5.5821" Properties=species:S:1:pos:R:3 comment="Rb2TiBr6N PBE optimized geometry" e_form_raw_ev_per_atom=-0.78 pbc="T T T"
Rb 3.8972 0.0000 2.7911
Rb 0.0000 3.8972 2.7911
Ti 0.0000 0.0000 0.0000
Br 0.0000 0.0000 2.5312
Br 1.7909 1.7909 0.0000
Br 2.1063 -2.1063 5.5821
Br -2.1063 2.1063 5.5821
Br 2.1063 2.1063 5.5821
Br 0.0000 0.0000 8.6330
N 0.0000 0.0000 5.5821



Density, respectively: 3.258; 2.605; 3.601; 3.952; 4.394; 3.487 g/cm3.